i | The following is a DFT calculation (GGA-PBE) of a relaxed HfTiIn crystal.

Lattice parameters (Å, degrees): 4.8989 4.8989 2.9462 90.00 90.00 120.00
Space group P-6m2 (No. 187)
Symmetry-distinct sites (fractional):
Hf1 0.0000 0.0000 0.0000 [1 per cell]
Ti1 0.3333 0.6667 0.0000 [1 per cell]
In1 0.6667 0.3333 0.5000 [1 per cell]

Density of states at the Fermi level: 3.68 states/eV per cell
Total magnetic moment: 1.496 μB per formula unit

***

ii | The following is a DFT calculation (GGA-PBE) of a relaxed HfTiIn crystal.

Lattice parameters (Å, degrees): 10.0876 10.0876 4.9835 90.00 90.00 90.00
Space group I4/mmm (No. 139)
Symmetry-distinct sites (fractional):
Hf1 0.1721 0.1721 0.0000 [8 per cell]
Ti1 0.0000 0.3850 0.0000 [8 per cell]
In1 0.0000 0.2270 0.5000 [8 per cell]

Density of states at the Fermi level: 18.71 states/eV per cell
Total magnetic moment: 0.000 μB per formula unit

***

Ordering by calculated energy gives the sequence ii, i, with the first entry being the most stable.

***

i | The following is a DFT calculation (GGA-PBE) of a relaxed Hf3Ti3In crystal.

Lattice parameters (Å, degrees): 8.2109 8.2109 4.8282 90.00 90.00 120.00
Space group P6_3/m (No. 176)
Symmetry-distinct sites (fractional):
Hf1 0.0776 0.2558 0.2500 [6 per cell]
Ti1 0.0965 0.4985 0.7500 [6 per cell]
In1 0.3333 0.6667 0.2500 [2 per cell]

Density of states at the Fermi level: 22.53 states/eV per cell
Total magnetic moment: 0.001 μB per formula unit

***

ii | The following is a DFT calculation (GGA-PBE) of a relaxed Hf3Ti3In crystal.

Lattice parameters (Å, degrees): 8.0776 8.0776 4.9759 90.00 90.00 120.00
Space group P6_3/m (No. 176)
Symmetry-distinct sites (fractional):
Hf1 0.1015 0.6441 0.2500 [6 per cell]
Ti1 0.0511 0.8309 0.7500 [6 per cell]
In1 0.3333 0.6667 0.7500 [2 per cell]

Density of states at the Fermi level: 15.00 states/eV per cell
Total magnetic moment: 0.001 μB per formula unit

***

Ordering by calculated energy gives the sequence ii, i, with the first entry being the most stable.

***

i | The following is a DFT calculation (GGA-PBE) of a relaxed Hf3Ti2In3 crystal.

Lattice parameters (Å, degrees): 4.1954 4.3214 18.1977 90.00 90.00 90.00
Space group Immm (No. 71)
Symmetry-distinct sites (fractional):
Hf1 0.0000 0.0000 0.0000 [2 per cell]
Hf2 0.0000 0.5000 0.1282 [4 per cell]
Ti1 0.0000 0.0000 0.2490 [4 per cell]
In1 0.0000 0.0000 0.5000 [2 per cell]
In2 0.0000 0.5000 0.3666 [4 per cell]

Density of states at the Fermi level: 13.44 states/eV per cell
Total magnetic moment: 0.000 μB per formula unit

***

ii | The following is a DFT calculation (GGA-PBE) of a relaxed Hf3Ti2In3 crystal.

Lattice parameters (Å, degrees): 4.2557 4.3232 8.9444 90.00 90.00 90.00
Space group Pmmm (No. 47)
Symmetry-distinct sites (fractional):
Hf1 0.0000 0.0000 0.0000 [1 per cell]
Hf2 0.0000 0.0000 0.5000 [1 per cell]
Hf3 0.5000 0.5000 0.0000 [1 per cell]
Ti1 0.0000 0.5000 0.2535 [2 per cell]
In1 0.5000 0.0000 0.2471 [2 per cell]
In2 0.5000 0.5000 0.5000 [1 per cell]

Density of states at the Fermi level: 9.71 states/eV per cell
Total magnetic moment: 0.001 μB per formula unit

***

Ordering by calculated energy gives the sequence i, ii, with the first entry being the most stable.

***

i | The following is a DFT calculation (GGA-PBE) of a relaxed Hf2TlIn2 crystal.

Lattice parameters (Å, degrees): 8.8709 8.8709 3.1437 90.00 90.00 90.00
Space group P4/mbm (No. 127)
Symmetry-distinct sites (fractional):
Hf1 0.1248 0.3752 0.0000 [4 per cell]
Tl1 0.0000 0.0000 0.5000 [2 per cell]
In1 0.1700 0.6700 0.5000 [4 per cell]

Density of states at the Fermi level: 8.26 states/eV per cell
Total magnetic moment: 0.000 μB per formula unit

***

ii | The following is a DFT calculation (GGA-PBE) of a relaxed Hf2TlIn2 crystal.

Lattice parameters (Å, degrees): 8.4683 8.4683 3.3947 90.00 90.00 90.00
Space group P4/mbm (No. 127)
Symmetry-distinct sites (fractional):
Hf1 0.1253 0.3747 0.0000 [4 per cell]
Tl1 0.0000 0.0000 0.0000 [2 per cell]
In1 0.1733 0.6733 0.5000 [4 per cell]

Density of states at the Fermi level: 5.69 states/eV per cell
Total magnetic moment: 0.000 μB per formula unit

***

Ordering by calculated energy gives the sequence ii, i, with the first entry being the most stable.

***

i | The following is a DFT calculation (GGA-PBE) of a relaxed Hf2TlIn crystal.

Lattice parameters (Å, degrees): 7.0997 7.0997 7.0997 90.00 90.00 90.00
Space group Fm-3m (No. 225)
Symmetry-distinct sites (fractional):
Hf1 0.2500 0.2500 0.2500 [8 per cell]
Tl1 0.0000 0.0000 0.0000 [4 per cell]
In1 0.0000 0.0000 0.5000 [4 per cell]

Density of states at the Fermi level: 31.59 states/eV per cell
Total magnetic moment: 0.000 μB per formula unit

***

ii | The following is a DFT calculation (GGA-PBE) of a relaxed Hf2TlIn crystal.

Lattice parameters (Å, degrees): 7.9447 7.9447 6.1077 90.00 90.00 90.00
Space group I-42d (No. 122)
Symmetry-distinct sites (fractional):
Hf1 0.2490 0.2500 0.1250 [8 per cell]
Tl1 0.0000 0.0000 0.0000 [4 per cell]
In1 0.0000 0.0000 0.5000 [4 per cell]

Density of states at the Fermi level: 13.21 states/eV per cell
Total magnetic moment: 0.000 μB per formula unit

***

iii | The following is a DFT calculation (GGA-PBE) of a relaxed Hf2TlIn crystal.

Lattice parameters (Å, degrees): 4.4935 4.4935 17.7490 90.00 90.00 120.00
Space group R3m (No. 160, hexagonal axes)
Symmetry-distinct sites (fractional):
Hf1 0.0000 0.0000 0.0000 [3 per cell]
Hf2 0.0000 0.0000 0.1812 [3 per cell]
Tl1 0.0000 0.0000 0.5905 [3 per cell]
In1 0.0000 0.0000 0.4185 [3 per cell]

Density of states at the Fermi level: 10.24 states/eV per cell
Total magnetic moment: 0.000 μB per formula unit

***

iv | The following is a DFT calculation (GGA-PBE) of a relaxed Hf2TlIn crystal.

Lattice parameters (Å, degrees): 4.4683 4.4683 4.4083 90.00 90.00 90.00
Space group P4/mmm (No. 123)
Symmetry-distinct sites (fractional):
Hf1 0.0000 0.5000 0.0000 [2 per cell]
Tl1 0.0000 0.0000 0.5000 [1 per cell]
In1 0.5000 0.5000 0.5000 [1 per cell]

Density of states at the Fermi level: 2.42 states/eV per cell
Total magnetic moment: 0.000 μB per formula unit

***

Ordering by calculated energy gives the sequence iv, i, ii, iii, with the first entry being the most stable.

***

i | The following is a DFT calculation (GGA-PBE) of a relaxed Hf2TlIn crystal.

Lattice parameters (Å, degrees): 3.1350 3.1350 8.9893 90.00 90.00 90.00
Space group P4/mmm (No. 123)
Symmetry-distinct sites (fractional):
Hf1 0.0000 0.0000 0.2422 [2 per cell]
Tl1 0.5000 0.5000 0.5000 [1 per cell]
In1 0.5000 0.5000 0.0000 [1 per cell]

Density of states at the Fermi level: 2.47 states/eV per cell
Total magnetic moment: 0.000 μB per formula unit

***

ii | The following is a DFT calculation (GGA-PBE) of a relaxed Hf2TlIn crystal.

Lattice parameters (Å, degrees): 3.2091 3.2091 30.7251 90.00 90.00 120.00
Space group R-3m (No. 166, hexagonal axes)
Symmetry-distinct sites (fractional):
Hf1 0.0000 0.0000 0.2504 [6 per cell]
Tl1 0.0000 0.0000 0.5000 [3 per cell]
In1 0.0000 0.0000 0.0000 [3 per cell]

Density of states at the Fermi level: 11.23 states/eV per cell
Total magnetic moment: 0.000 μB per formula unit

***

Ordering by calculated energy gives the sequence i, ii, with the first entry being the most stable.

***

i | The following is a DFT calculation (GGA-PBE) of a relaxed Hf4TlIn crystal.

Lattice parameters (Å, degrees): 5.0046 6.1027 8.8212 90.00 90.00 90.00
Space group Pmmn (No. 59, origin choice 2)
Symmetry-distinct sites (fractional):
Hf1 0.2500 0.0065 0.2431 [4 per cell]
Hf2 0.2500 0.7500 0.5927 [2 per cell]
Hf3 0.2500 0.7500 0.9224 [2 per cell]
Tl1 0.2500 0.2500 0.5761 [2 per cell]
In1 0.2500 0.2500 0.9103 [2 per cell]

Density of states at the Fermi level: 9.30 states/eV per cell
Total magnetic moment: 0.000 μB per formula unit

***

ii | The following is a DFT calculation (GGA-PBE) of a relaxed Hf4TlIn crystal.

Lattice parameters (Å, degrees): 4.4723 14.0073 4.3275 90.00 90.00 90.00
Space group Cmmm (No. 65)
Symmetry-distinct sites (fractional):
Hf1 0.0000 0.1725 0.0000 [4 per cell]
Hf2 0.0000 0.3263 0.5000 [4 per cell]
Tl1 0.0000 0.0000 0.5000 [2 per cell]
In1 0.0000 0.5000 0.0000 [2 per cell]

Density of states at the Fermi level: 9.53 states/eV per cell
Total magnetic moment: 0.000 μB per formula unit

***

Ordering by calculated energy gives the sequence ii, i, with the first entry being the most stable.

***

i | The following is a DFT calculation (GGA-PBE) of a relaxed HfTl3In crystal.

Lattice parameters (Å, degrees): 5.6586 5.6586 5.6586 90.00 90.00 90.00
Space group Pm-3m (No. 221)
Symmetry-distinct sites (fractional):
Hf1 0.0000 0.0000 0.0000 [1 per cell]
Tl1 0.0000 0.0000 0.5000 [3 per cell]
In1 0.5000 0.5000 0.5000 [1 per cell]

Density of states at the Fermi level: 5.36 states/eV per cell
Total magnetic moment: 0.000 μB per formula unit

***

ii | The following is a DFT calculation (GGA-PBE) of a relaxed HfTl3In crystal.

Lattice parameters (Å, degrees): 5.5605 5.5605 5.5605 90.00 90.00 90.00
Space group Pm-3m (No. 221)
Symmetry-distinct sites (fractional):
Hf1 0.0000 0.0000 0.0000 [1 per cell]
Tl1 0.0000 0.5000 0.5000 [3 per cell]
In1 0.5000 0.5000 0.5000 [1 per cell]

Density of states at the Fermi level: 5.53 states/eV per cell
Total magnetic moment: 0.413 μB per formula unit

***

Ordering by calculated energy gives the sequence i, ii, with the first entry being the most stable.